1.
! PmPrNb (PBE, optimized geometry); values from VASP
! - space group = No. 216
! - uncorrected energy (eV per cell) = -17.20
! - offset from the most stable computed form (eV/atom) = 0.000
! - ΔE_f (eV/atom) = 0.806
&SYSTEM
  ibrav = 0, nat = 3, ntyp = 3
/
ATOMIC_SPECIES
Nb 92.91 Nb.upf
Pm 145.00 Pm.upf
Pr 140.91 Pr.upf
CELL_PARAMETERS angstrom
-3.7495 -1.0826 3.3670
-4.8943 -0.2738 -1.5931
-2.3972 -4.5590 -0.1901
ATOMIC_POSITIONS angstrom
Nb 0.0000 0.0000 0.0000
Pm -2.7603 -1.4788 0.3960
Pr -8.2808 -4.4365 1.1879

2.
! PmPuNb (PBE, optimized geometry); values from VASP
! - space group = No. 216
! - uncorrected energy (eV per cell) = -26.61
! - offset from the most stable computed form (eV/atom) = 0.000
! - ΔE_f (eV/atom) = 0.784
&SYSTEM
  ibrav = 0, nat = 3, ntyp = 3
/
ATOMIC_SPECIES
Nb 92.91 Nb.upf
Pm 145.00 Pm.upf
Pu 244.00 Pu.upf
CELL_PARAMETERS angstrom
0.0000 3.4894 3.4894
3.4894 0.0000 3.4894
3.4894 3.4894 0.0000
ATOMIC_POSITIONS angstrom
Nb 0.0000 0.0000 0.0000
Pm 1.7447 1.7447 1.7447
Pu 5.2340 5.2340 5.2340

3.
! RbPmNb (PBE, optimized geometry); values from VASP
! - space group = No. 216
! - uncorrected energy (eV per cell) = -10.85
! - offset from the most stable computed form (eV/atom) = 0.000
&SYSTEM
  ibrav = 0, nat = 3, ntyp = 3
/
ATOMIC_SPECIES
Nb 92.91 Nb.upf
Pm 145.00 Pm.upf
Rb 85.47 Rb.upf
CELL_PARAMETERS angstrom
3.9376 3.2605 2.3350
-1.4609 3.9213 3.7520
1.3417 -0.6566 5.4181
ATOMIC_POSITIONS angstrom
Nb 0.0000 0.0000 0.0000
Pm 0.9546 1.6313 2.8763
Rb 2.8638 4.8938 8.6288

4.
! Pm2NbRe2 (PBE, optimized geometry); values from VASP
! - space group = No. 194
! - uncorrected energy (eV per cell) = -78.74
! - ΔE_f (eV/atom) = 1.012
&SYSTEM
  ibrav = 0, nat = 10, ntyp = 3
/
ATOMIC_SPECIES
Nb 92.91 Nb.upf
Pm 145.00 Pm.upf
Re 186.21 Re.upf
CELL_PARAMETERS angstrom
-0.4217 -0.9820 4.7230
4.1062 -1.0621 -2.3366
4.1060 10.3388 2.5161
ATOMIC_POSITIONS angstrom
Nb 0.0000 0.0000 0.0000
Nb 2.0530 5.1694 1.2581
Pm 3.0779 0.1758 0.3114
Pm 4.1689 2.9228 0.9799
Pm 3.6216 5.3719 3.9227
Pm 4.7125 8.1189 4.5912
Re 1.6702 0.4584 2.7268
Re 2.5580 2.6937 3.2708
Re 5.2325 5.6011 1.6317
Re 6.1202 7.8363 2.1757

5.
! PmScNb (PBE, optimized geometry); values from VASP
! - space group = No. 216
! - uncorrected energy (eV per cell) = -17.40
! - offset from the most stable computed form (eV/atom) = 0.411
! - ΔE_f (eV/atom) = 1.255
&SYSTEM
  ibrav = 0, nat = 3, ntyp = 3
/
ATOMIC_SPECIES
Nb 92.91 Nb.upf
Pm 145.00 Pm.upf
Sc 44.96 Sc.upf
CELL_PARAMETERS angstrom
-0.0207 -4.2565 -2.3946
-4.2192 -2.3175 -0.8244
-1.8072 -0.2443 -4.5306
ATOMIC_POSITIONS angstrom
Nb -1.5118 -1.7046 -1.9374
Pm 0.0000 0.0000 0.0000
Sc -4.5353 -5.1137 -5.8122

6.
! PmScNb (PBE, optimized geometry); values from VASP
! - space group = No. 216
! - uncorrected energy (eV per cell) = -18.64
! - offset from the most stable computed form (eV/atom) = 0.000
! - ΔE_f (eV/atom) = 0.844
&SYSTEM
  ibrav = 0, nat = 3, ntyp = 3
/
ATOMIC_SPECIES
Nb 92.91 Nb.upf
Pm 145.00 Pm.upf
Sc 44.96 Sc.upf
CELL_PARAMETERS angstrom
1.6374 -4.6471 -0.0208
4.8207 -0.9155 0.4468
1.7518 -2.0133 4.1418
ATOMIC_POSITIONS angstrom
Nb 0.0000 0.0000 0.0000
Pm 6.1574 -5.6820 3.4259
Sc 2.0525 -1.8940 1.1420

7.
! PmSmNb (PBE, optimized geometry); values from VASP
! - space group = No. 216
! - uncorrected energy (eV per cell) = -17.14
! - offset from the most stable computed form (eV/atom) = 0.000
! - ΔE_f (eV/atom) = 0.804
&SYSTEM
  ibrav = 0, nat = 3, ntyp = 3
/
ATOMIC_SPECIES
Nb 92.91 Nb.upf
Pm 145.00 Pm.upf
Sm 150.36 Sm.upf
CELL_PARAMETERS angstrom
0.0000 3.6287 3.6287
3.6287 0.0000 3.6287
3.6287 3.6287 0.0000
ATOMIC_POSITIONS angstrom
Nb 0.0000 0.0000 0.0000
Pm 1.8144 1.8144 1.8144
Sm 5.4430 5.4430 5.4430

8.
! SrPmNb (PBE, optimized geometry); values from VASP
! - space group = No. 216
! - uncorrected energy (eV per cell) = -13.18
&SYSTEM
  ibrav = 0, nat = 3, ntyp = 3
/
ATOMIC_SPECIES
Nb 92.91 Nb.upf
Pm 145.00 Pm.upf
Sr 87.62 Sr.upf
CELL_PARAMETERS angstrom
0.0000 3.8223 3.8223
3.8223 0.0000 3.8223
3.8223 3.8223 0.0000
ATOMIC_POSITIONS angstrom
Nb 0.0000 0.0000 0.0000
Pm 1.9112 1.9112 1.9112
Sr 5.7335 5.7335 5.7335

Copy entry 8 word for word.
! SrPmNb (PBE, optimized geometry); values from VASP
! - space group = No. 216
! - uncorrected energy (eV per cell) = -13.18
&SYSTEM
  ibrav = 0, nat = 3, ntyp = 3
/
ATOMIC_SPECIES
Nb 92.91 Nb.upf
Pm 145.00 Pm.upf
Sr 87.62 Sr.upf
CELL_PARAMETERS angstrom
0.0000 3.8223 3.8223
3.8223 0.0000 3.8223
3.8223 3.8223 0.0000
ATOMIC_POSITIONS angstrom
Nb 0.0000 0.0000 0.0000
Pm 1.9112 1.9112 1.9112
Sr 5.7335 5.7335 5.7335

Which value of uncorrected energy does entry 5 give? -17.40 eV per cell